Density functional theory data (PBE) for an optimized crystal structure of TcPC.

Properties
Calculated total energy in eV per atom: -7.969
E above lowest polymorph in meV per atom: 322.8
SG: P1
Density of states at the Fermi level in states/eV/atom: 0.22
Formation energy in eV/f.u.: 1.1

Lattice parameters (Å, degrees): 2.8646 2.8855 4.6314 91.19 108.12 89.99
With the nearest neighbours (Å) after each atom.
Sites, in units of the cell vectors:
1 P 0.3813 0.5265 0.8994  1 C 1.75
2 C 0.5750 0.5097 0.2959  1 P 1.75
3 Tc 0.1690 0.0183 0.4820  4 C 2.19-2.20, 2 P 2.33-2.35

Density functional theory data (PBE) for an optimized crystal structure of TcPC3.

Properties
Calculated total energy in eV per atom: -6.625
E above lowest polymorph in meV per atom: 0.0
SG: Pm-3m
Density of states at the Fermi level in states/eV/atom: 0.73
Formation energy in eV/f.u.: 10.3

Lattice parameters (Å, degrees): 3.6102 3.6102 3.6102 90.00 90.00 90.00
With the nearest neighbours (Å) after each atom.
Sites, in units of the cell vectors:
1 P 0.0000 0.0000 0.0000  6 C 1.81
2 C 0.0000 0.5000 0.0000  2 P 1.81
3 C 0.0000 0.0000 0.5000  2 P 1.81
4 C 0.5000 0.0000 0.0000  2 P 1.81
5 Tc 0.5000 0.5000 0.5000  12 C 2.55

Density functional theory data (PBE) for an optimized crystal structure of TcP3C.

Properties
Calculated total energy in eV per atom: -6.132
E above lowest polymorph in meV per atom: 0.0
SG: Pm-3m
Density of states at the Fermi level in states/eV/atom: 0.70
Formation energy in eV/f.u.: 5.2

Lattice parameters (Å, degrees): 3.9377 3.9377 3.9377 90.00 90.00 90.00
With the nearest neighbours (Å) after each atom.
Sites, in units of the cell vectors:
1 P 0.0000 0.5000 0.0000  2 C 1.97
2 P 0.0000 0.0000 0.5000  2 C 1.97
3 P 0.5000 0.0000 0.0000  2 C 1.97
4 C 0.0000 0.0000 0.0000  6 P 1.97
5 Tc 0.5000 0.5000 0.5000  12 P 2.78

Density functional theory data (PBE) for an optimized crystal structure of TcPC2.

Properties
Calculated total energy in eV per atom: -8.088
SG: P-4m2
Density of states at the Fermi level in states/eV/atom: 0.50
Formation energy in eV/f.u.: 1.9

Lattice parameters (Å, degrees): 2.8714 2.8714 5.1954 90.00 90.00 90.00
With the nearest neighbours (Å) after each atom.
Sites, in units of the cell vectors:
1 P 0.5000 0.5000 0.0000  4 C 1.78
2 C 0.0000 0.5000 0.7970  2 P 1.78
3 C 0.5000 0.0000 0.2030  2 P 1.78
4 Tc 0.0000 0.0000 0.5000  4 C 2.11

Density functional theory data (PBE) for an optimized crystal structure of ThTc2PC.

Properties
Calculated total energy in eV per atom: -9.195
SG: Cmcm
Density of states at the Fermi level in states/eV/atom: 0.68
Formation energy in eV/f.u.: -3.2

Lattice parameters (Å, degrees): 3.9001 5.9031 7.2935 90.00 90.00 109.29
With the nearest neighbours (Å) after each atom.
Sites, in units of the cell vectors:
1 Th 0.4542 0.9083 0.7500  4 C 2.72
2 Th 0.5458 0.0917 0.2500  4 C 2.72
3 Tc 0.1704 0.3409 0.9394  1 C 1.95
4 Tc 0.8296 0.6591 0.0606  1 C 1.95
5 Tc 0.1704 0.3409 0.5606  1 C 1.95
6 Tc 0.8296 0.6591 0.4394  1 C 1.95
7 P 0.7313 0.4626 0.7500  6 Tc 2.48-2.52
8 P 0.2687 0.5374 0.2500  6 Tc 2.48-2.52
9 C 0.0000 0.0000 0.0000  2 Tc 1.95
10 C 0.0000 0.0000 0.5000  2 Tc 1.95

Density functional theory data (PBE) for an optimized crystal structure of TiTcP2C.

Properties
Calculated total energy in eV per atom: -7.178
SG: P4/mmm
Density of states at the Fermi level in states/eV/atom: 0.61
Formation energy in eV/f.u.: 2.4

Lattice parameters (Å, degrees): 4.2339 3.7938 4.2339 90.00 90.00 90.00
With the nearest neighbours (Å) after each atom.
Sites, in units of the cell vectors:
1 P 0.0000 0.0000 0.5000  2 C 2.12
2 P 0.5000 0.0000 0.0000  2 C 2.12
3 C 0.0000 0.0000 0.0000  2 Tc 1.90, 4 P 2.12
4 Tc 0.0000 0.5000 0.0000  2 C 1.90
5 Ti 0.5000 0.5000 0.5000  8 P 2.84, 4 Tc 2.99